Record 1
{"formula": "KP2I", "functional": "GGA-PBE", "state": "optimized geometry", "cell": [[-7.448, -3.324, -2.586], [-0.857, -3.947, 7.542], [-5.620, -1.207, 3.583]], "species": ["K", "K", "P", "P", "I", "I", "P", "P"], "frac_coords": [[0.250, 0.750, 0.500], [0.500, 0.500, 0.000], [0.095, 0.625, 0.250], [0.875, 0.905, 0.750], [0.750, 0.250, 0.500], [0.000, 0.000, 0.000], [0.375, 0.345, 0.750], [0.655, 0.125, 0.250]], "de_polymorph_ev_per_fu": 0.00, "raw_formation_energy_kj_per_mol_atoms": 57.5}

***

Record 2
{"formula": "LiPrFeH6", "functional": "GGA-PBE", "state": "optimized geometry", "cell": [[-3.100, 0.987, -3.124], [-3.660, -2.598, -0.446], [-2.090, 2.455, 2.849]], "species": ["H", "Li", "H", "Pr", "H", "H", "H", "Fe", "H"], "frac_coords": [[0.482, 0.036, 0.750], [0.667, 0.667, 0.500], [0.036, 0.482, 0.750], [0.000, 0.000, 0.000], [0.482, 0.482, 0.250], [0.482, 0.482, 0.750], [0.036, 0.482, 0.250], [0.333, 0.333, 0.500], [0.482, 0.036, 0.250]], "dft_energy_ev_per_atom": -4.2473}

***

Record 3
{"formula": "CaCeAlCd", "functional": "GGA-PBE", "state": "optimized geometry", "cell": [[-4.081, -3.365, -0.674], [0.644, -4.424, -2.908], [0.057, -4.771, 2.381]], "species": ["Cd", "Ce", "Ca", "Al"], "frac_coords": [[0.750, 0.750, 0.750], [0.500, 0.500, 0.500], [0.000, 0.000, 0.000], [0.250, 0.250, 0.250]], "e_form_ev_per_atom": -0.233}

***

Record 4
{"formula": "RbCdIn3", "functional": "GGA-PBE", "state": "optimized geometry", "cell": [[-6.042, 2.504, 0.124], [-0.194, -0.093, -7.570], [-2.411, -6.011, 3.924]], "species": ["Rb", "In", "Rb", "In", "Cd", "In", "Cd", "In", "In", "In"], "frac_coords": [[0.250, 0.333, 0.667], [0.750, 0.193, 0.807], [0.750, 0.667, 0.333], [0.250, 0.807, 0.614], [0.000, 0.000, 0.000], [0.750, 0.614, 0.807], [0.500, 0.000, 0.000], [0.250, 0.807, 0.193], [0.250, 0.386, 0.193], [0.750, 0.193, 0.386]], "de_polymorph_ev_per_fu": 0.62, "e_form_ev_per_atom": 0.026}

***

Record 5
{"formula": "PrPuCdRh", "functional": "GGA-PBE", "state": "optimized geometry", "cell": [[-2.401, -1.274, 4.402], [2.640, -2.282, 3.819], [1.023, 2.603, 4.352]], "species": ["Rh", "Cd", "Pr", "Pu"], "frac_coords": [[0.250, 0.250, 0.250], [0.750, 0.750, 0.750], [0.000, 0.000, 0.000], [0.500, 0.500, 0.500]], "e_form_ev_per_atom": -0.213}

***

Record 6
{"formula": "Ac2LaPmSm4", "functional": "GGA-PBE", "state": "optimized geometry", "cell": [[9.744, -0.032, 1.741], [-0.038, 9.744, 1.741], [-3.558, -3.560, 5.079]], "species": ["Sm", "La", "Ac", "Sm", "Pm", "Pm", "Sm", "Sm", "Ac", "Ac", "Ac", "La", "Sm", "Sm", "Sm", "Sm"], "frac_coords": [[0.755, 0.271, 0.511], [0.000, 0.500, 0.500], [0.000, 0.000, 0.500], [0.761, 0.740, 0.516], [0.500, 0.500, 0.500], [0.000, 0.000, 0.000], [0.760, 0.739, 0.984], [0.229, 0.745, 0.989], [0.500, 0.000, 0.000], [0.500, 0.500, 0.000], [0.500, 0.000, 0.500], [0.000, 0.500, 0.000], [0.771, 0.255, 0.011], [0.245, 0.729, 0.489], [0.239, 0.260, 0.484], [0.240, 0.261, 0.016]], "e_form_ev_per_atom": 0.380}

***

| no. | Fermi-level density of states (states/eV/f.u.) |
| --- | --- |
| 1 | 2.9 |
| 2 | 3.3 |
| 3 | 8.1 |
| 4 | 2.3 |
| 5 | 10.4 |
| 6 | 17.8 |